First-principles (PBE with a Hubbard U) data for an optimized crystal structure of Fe2PtO6, as listed in Alexandria.

a = 4.624 Å, b = 5.273 Å, c = 8.483 Å
α = 90.00°, β = 90.00°, γ = 90.00°
Space group Pnnm (No. 58)
Inequivalent atoms, fractional coordinates:
1 Fe 0.000 0.000 0.189 x4
2 Pt 0.000 0.500 0.000 x2
3 O 0.201 0.166 0.000 x4
4 O 0.232 0.669 0.166 x8

**Crystal system**: orthorhombic
**Total DFT energy (no corrections)**: -6.10 eV per atom
**Mass density**: 6.5 g/cm³